16
Lattice="4.083 -4.698 0.000 4.083 4.698 0.000 -3.232 0.000 7.047" Properties=species:S:1:pos:R:3 comment="InAgWO5 PBE+U optimized geometry" space_group=C2/c crystal_system=monoclinic vol_a3_per_atom=16.89 dft_energy_ev_per_atom=-6.077 pbc="T T T"
In 0.000 0.000 0.000
In -1.616 0.000 3.523
Ag 1.659 1.815 5.285
Ag 3.275 -1.815 1.762
W 3.275 1.385 1.762
W 1.659 -1.385 5.285
O 1.659 4.047 5.285
O 2.412 2.470 2.932
O 2.100 0.320 0.863
O 4.138 2.470 0.591
O 0.484 -0.320 4.387
O 4.450 0.320 2.660
O 0.796 -2.470 6.456
O 2.834 -0.320 6.183
O 2.522 -2.470 4.114
O 3.275 -4.047 1.762